## Ba2SeBr (GGA-PBE)

Data for Ba2SeBr after structural relaxation.

a b c (Å): 4.704 4.704 8.264
angles (deg): 106.46 106.46 59.94
Element x y z (fractional)
Ba 0.243 0.243 0.228
Ba 0.757 0.757 0.772
Se 0.500 0.500 0.000
Br 0.000 0.000 0.500

Values from the calculation:
crystal system: monoclinic
polymorph energy (0 for the lowest one): 0 meV per atom
symmetry: C2/m, No. 12
total DFT energy (no corrections): -16.4 eV per cell
raw formation energy: -177.6 kJ/mol of atoms